Here is a relaxed structure of K4Tl5Pd2 from Alexandria. Energies are from PBE.

Cell: 5.5805 7.4678 9.4383 Å, 101.63 90.00 90.00°
Last column: nearest neighbours and their distance in Å.
Atoms (fractional coordinates):
K1 0.5000 0.7793 0.5702  4 Pd 3.58-3.67, 6 Tl 3.73-3.90, 2 K 3.79-3.85
K2 0.5000 0.2178 0.8658  2 Pd 3.54, 4 Tl 3.57-3.79, 1 K 3.85
K3 0.5000 0.7822 0.1342  2 Pd 3.54, 4 Tl 3.57-3.79, 1 K 3.85
K4 0.5000 0.2207 0.4298  4 Pd 3.58-3.67, 6 Tl 3.73-3.90, 2 K 3.79-3.85
Pd1 0.0000 0.0839 0.6374  1 Pd 2.64, 2 Tl 2.72-2.73
Pd2 0.0000 0.9161 0.3626  1 Pd 2.64, 2 Tl 2.72-2.73
Tl1 0.0000 0.4532 0.6572  1 Pd 2.73
Tl2 0.0000 0.5000 0.0000  4 Tl 3.18-3.41
Tl3 0.0000 0.5468 0.3428  1 Pd 2.73
Tl4 0.0000 0.8692 0.8385  1 Pd 2.72
Tl5 0.0000 0.1308 0.1615  1 Pd 2.72

Computed properties:
Volume = 385 Å³/cell
N(E_F) = 6.53 states/eV/f.u.
Electronic total energy = -27.201 eV/f.u.
Space-group type = No. 10

---

Here is a relaxed structure of K2Tl6Pd from Alexandria. Energies are from PBE.

Cell: 6.2115 7.1861 7.1862 Å, 59.98 89.98 89.98°
Last column: nearest neighbours and their distance in Å.
Atoms (fractional coordinates):
Tl1 0.3013 0.8283 0.3436  1 Pd 2.84
Tl2 0.6987 0.6564 0.1717  1 Pd 2.84
Tl3 0.3013 0.3436 0.8283  1 Pd 2.84
Tl4 0.3012 0.8280 0.8280  1 Pd 2.84
Tl5 0.6988 0.1720 0.1720  1 Pd 2.84
Tl6 0.6987 0.1717 0.6564  1 Pd 2.84
Pd1 0.0000 0.0000 0.0000  6 Tl 2.84
K1 0.8046 0.6666 0.6666  12 Tl 3.65-3.72
K2 0.1954 0.3334 0.3334  12 Tl 3.65-3.72

Computed properties:
Volume = 278 Å³/cell
N(E_F) = 4.93 states/eV/f.u.
Electronic total energy = -22.478 eV/f.u.
Space-group type = No. 164
Offset from the most stable computed form = 0.00 eV per formula unit

---

Here is a relaxed structure of K3Tl4Pd2 from Alexandria. Energies are from PBE.

Cell: 7.7180 9.3895 9.3895 Å, 69.24 76.35 76.35°
Last column: nearest neighbours and their distance in Å.
Atoms (fractional coordinates):
K1 0.8430 0.0175 0.2259  3 Pd 3.50-3.66, 3 Tl 3.59-3.73
K2 0.1570 0.9825 0.7741  3 Pd 3.50-3.66, 3 Tl 3.59-3.73
K3 0.3430 0.2259 0.0175  3 Pd 3.50-3.66, 3 Tl 3.59-3.73
K4 0.7500 0.5468 0.4532  2 Pd 3.43, 8 Tl 3.56-3.82
K5 0.6570 0.7741 0.9825  3 Pd 3.50-3.66, 3 Tl 3.59-3.73
K6 0.2500 0.4532 0.5468  2 Pd 3.43, 8 Tl 3.56-3.82
Tl1 0.8480 0.3939 0.8659  2 Pd 2.83-2.84
Tl2 0.6520 0.1341 0.6061  2 Pd 2.83-2.84
Tl3 0.3480 0.8659 0.3939  2 Pd 2.83-2.84
Tl4 0.5503 0.3989 0.2121  2 Pd 2.74-2.75
Tl5 0.0503 0.2121 0.3989  2 Pd 2.74-2.75
Tl6 0.9497 0.7879 0.6011  2 Pd 2.74-2.75
Tl7 0.1520 0.6061 0.1341  2 Pd 2.83-2.84
Tl8 0.4497 0.6011 0.7879  2 Pd 2.74-2.75
Pd1 0.5868 0.8577 0.5866  4 Tl 2.74-2.84, 1 Pd 2.80
Pd2 0.9132 0.4134 0.1423  4 Tl 2.74-2.84, 1 Pd 2.80
Pd3 0.4132 0.1423 0.4134  4 Tl 2.74-2.84, 1 Pd 2.80
Pd4 0.0868 0.5866 0.8577  4 Tl 2.74-2.84, 1 Pd 2.80

Computed properties:
Volume = 610 Å³/cell
N(E_F) = 3.40 states/eV/f.u.
Electronic total energy = -24.414 eV/f.u.
Space-group type = No. 15
Offset from the most stable computed form = 0.10 eV per formula unit

---

Here is a relaxed structure of KTlPd2 from Alexandria. Energies are from PBE.

Cell: 7.9805 7.9805 6.4644 Å, 51.88 51.88 90.00°
Last column: nearest neighbours and their distance in Å.
Atoms (fractional coordinates):
Tl1 0.7500 0.2500 0.5000  4 Pd 2.70
Tl2 0.0000 0.0000 0.0000  4 Pd 2.70
Pd1 0.8750 0.9189 0.7500  2 Tl 2.70
Pd2 0.6689 0.1250 0.2500  2 Tl 2.70
Pd3 0.0811 0.6250 0.2500  2 Tl 2.70
Pd4 0.3750 0.3311 0.7500  2 Tl 2.70
K1 0.5000 0.5000 0.0000  2 Tl 3.15, 8 Pd 3.18-3.50
K2 0.2500 0.7500 0.5000  2 Tl 3.15, 8 Pd 3.18-3.50

Computed properties:
Volume = 201 Å³/cell
N(E_F) = 0.46 states/eV/f.u.
Electronic total energy = -13.133 eV/f.u.
Space-group type = No. 122

---

Here is a relaxed structure of K3Tl2Pd7 from Alexandria. Energies are from PBE.

Cell: 5.8784 5.8784 9.4448 Å, 71.87 71.87 60.00°
Last column: nearest neighbours and their distance in Å.
Atoms (fractional coordinates):
Pd1 0.5815 0.0854 0.7516  2 Tl 2.77, 5 Pd 2.78-2.96
Pd2 0.5815 0.5815 0.7516  2 Tl 2.77, 5 Pd 2.78-2.96
Pd3 0.5000 0.5000 0.5000  6 Pd 2.78
Pd4 0.4185 0.4185 0.2484  2 Tl 2.77, 5 Pd 2.78-2.96
Pd5 0.4185 0.9146 0.2484  2 Tl 2.77, 5 Pd 2.78-2.96
Pd6 0.9146 0.4185 0.2484  2 Tl 2.77, 5 Pd 2.78-2.96
Pd7 0.0854 0.5815 0.7516  2 Tl 2.77, 5 Pd 2.78-2.96
Tl1 0.3330 0.3330 0.0011  6 Pd 2.77
Tl2 0.6670 0.6670 0.9989  6 Pd 2.77
K1 0.8598 0.8598 0.4206  12 Pd 3.31-3.47, 3 K 3.67
K2 0.0000 0.0000 0.0000  6 Tl 3.39, 12 Pd 3.67, 2 K 3.71
K3 0.1402 0.1402 0.5794  12 Pd 3.31-3.47, 3 K 3.67

Computed properties:
Volume = 264 Å³/cell
N(E_F) = 3.94 states/eV/f.u.
Electronic total energy = -45.988 eV/f.u.
Space-group type = No. 166

---

Here is a relaxed structure of K2Tl5Pd2 from Alexandria. Energies are from PBE.

Cell: 5.3400 5.3400 11.2574 Å, 90.00 90.00 90.00°
Last column: nearest neighbours and their distance in Å.
Atoms (fractional coordinates):
K1 0.0000 0.0000 0.5000  12 Tl 3.78-3.99
K2 0.0000 0.0000 0.0000  8 Tl 3.77
Pd1 0.5000 0.5000 0.7362  5 Tl 2.66-2.69
Pd2 0.5000 0.5000 0.2638  5 Tl 2.66-2.69
Tl1 0.0000 0.5000 0.2368  2 Pd 2.69
Tl2 0.5000 0.0000 0.7632  2 Pd 2.69
Tl3 0.0000 0.5000 0.7632  2 Pd 2.69
Tl4 0.5000 0.5000 0.5000  2 Pd 2.66
Tl5 0.5000 0.0000 0.2368  2 Pd 2.69

Computed properties:
Volume = 321 Å³/cell
N(E_F) = 6.13 states/eV/f.u.
Electronic total energy = -24.813 eV/f.u.
Space-group type = No. 123

---

Here is a relaxed structure of K2Tl3Pd from Alexandria. Energies are from PBE.

Cell: 6.6423 6.6423 10.4486 Å, 113.43 113.43 75.46°
Last column: nearest neighbours and their distance in Å.
Atoms (fractional coordinates):
K1 0.2348 0.7652 0.0000  10 Tl 3.60-3.78, 2 Pd 3.69, 1 K 3.82
K2 0.7652 0.2348 0.0000  10 Tl 3.60-3.78, 2 Pd 3.69, 1 K 3.82
K3 0.7500 0.2500 0.5000  8 Tl 3.56, 4 Pd 3.65
K4 0.2500 0.7500 0.5000  8 Tl 3.56, 4 Pd 3.65
Tl1 0.8172 0.8172 0.1770  1 Pd 2.78
Tl2 0.1792 0.1792 0.3583  1 Pd 2.80
Tl3 0.8208 0.8208 0.6417  1 Pd 2.80
Tl4 0.6402 0.6402 0.8230  1 Pd 2.78
Tl5 0.3598 0.3598 0.1770  1 Pd 2.78
Tl6 0.1828 0.1828 0.8230  1 Pd 2.78
Pd1 0.3340 0.3340 0.6681  3 Tl 2.78-2.80
Pd2 0.6660 0.6660 0.3319  3 Tl 2.78-2.80

Computed properties:
Volume = 386 Å³/cell
N(E_F) = 3.64 states/eV/f.u.
Electronic total energy = -14.867 eV/f.u.
Space-group type = No. 69
Offset from the most stable computed form = 0.06 eV per formula unit

---

Here is a relaxed structure of K2Tl5Pd5 from Alexandria. Energies are from PBE.

Cell: 4.5139 5.9507 10.9851 Å, 90.00 90.00 90.00°
Last column: nearest neighbours and their distance in Å.
Atoms (fractional coordinates):
Pd1 0.5000 0.2553 0.7374  4 Tl 2.81-2.82, 3 Pd 2.91-3.04
Pd2 0.5000 0.7447 0.2626  4 Tl 2.81-2.82, 3 Pd 2.91-3.04
Pd3 0.5000 0.5000 0.5000  4 Tl 2.86, 4 Pd 2.99
Pd4 0.5000 0.2553 0.2626  4 Tl 2.81-2.82, 3 Pd 2.91-3.04
Pd5 0.5000 0.7447 0.7374  4 Tl 2.81-2.82, 3 Pd 2.91-3.04
K1 0.0000 0.5000 0.0000  10 Tl 3.68-3.74, 8 Pd 3.94
K2 0.0000 0.0000 0.5000  6 Tl 3.33-3.45
Tl1 0.0000 0.5000 0.6593  6 Pd 2.82-2.86
Tl2 0.0000 0.5000 0.3407  6 Pd 2.82-2.86
Tl3 0.0000 0.0000 0.8029  4 Pd 2.81, 2 Tl 3.13
Tl4 0.5000 0.0000 0.0000  4 Tl 3.13, 4 Pd 3.26
Tl5 0.0000 0.0000 0.1971  4 Pd 2.81, 2 Tl 3.13

Computed properties:
Volume = 295 Å³/cell
N(E_F) = 4.26 states/eV/f.u.
Electronic total energy = -41.739 eV/f.u.
Space-group type = No. 47

---

Here is a relaxed structure of K2Tl4Pd5 from Alexandria. Energies are from PBE.

Cell: 6.0406 6.0775 9.0836 Å, 80.49 70.58 60.20°
Last column: nearest neighbours and their distance in Å.
Atoms (fractional coordinates):
Pd1 0.5000 0.0000 0.0000  4 Tl 2.78, 4 Pd 3.04
Pd2 0.2500 0.5000 0.5000  4 Tl 2.74, 2 Pd 3.02
Pd3 0.7500 0.5000 0.5000  4 Tl 2.74, 2 Pd 3.02
Pd4 0.0000 0.5000 0.0000  4 Tl 2.83, 4 Pd 3.02-3.04
Pd5 0.5000 0.5000 0.0000  4 Tl 2.83, 4 Pd 3.02-3.04
Tl1 0.2102 0.3225 0.2571  5 Pd 2.74-2.83
Tl2 0.5327 0.6775 0.2571  5 Pd 2.74-2.83
Tl3 0.4673 0.3225 0.7429  5 Pd 2.74-2.83
Tl4 0.7898 0.6775 0.7429  5 Pd 2.74-2.83
K1 0.8776 0.0000 0.2449  6 Tl 3.47-3.57, 10 Pd 3.68-3.74
K2 0.1224 0.0000 0.7551  6 Tl 3.47-3.57, 10 Pd 3.68-3.74

Computed properties:
Volume = 273 Å³/cell
N(E_F) = 4.36 states/eV/f.u.
Electronic total energy = -39.516 eV/f.u.
Space-group type = No. 69

---

Here is a relaxed structure of KTl7Pd2 from Alexandria. Energies are from PBE.

Cell: 5.3885 8.1087 8.1087 Å, 110.55 90.00 90.00°
Last column: nearest neighbours and their distance in Å.
Atoms (fractional coordinates):
Tl1 0.5000 0.0718 0.3297  2 Pd 2.84-2.96
Tl2 0.5000 0.5000 0.5000  2 Pd 2.79
Tl3 0.5000 0.6703 0.9282  2 Pd 2.84-2.96
Tl4 0.5000 0.9282 0.6703  2 Pd 2.84-2.96
Tl5 0.0000 0.2985 0.7016  2 Pd 2.70
Tl6 0.5000 0.3297 0.0718  2 Pd 2.84-2.96
Tl7 0.0000 0.7015 0.2984  2 Pd 2.70
K1 0.0000 0.0000 0.0000  10 Tl 3.69-3.98
Pd1 0.5000 0.2908 0.7092  7 Tl 2.70-2.96
Pd2 0.5000 0.7092 0.2908  7 Tl 2.70-2.96

Computed properties:
Volume = 332 Å³/cell
N(E_F) = 5.88 states/eV/f.u.
Electronic total energy = -28.178 eV/f.u.
Space-group type = No. 65

---

Here is a relaxed structure of K2TlPd from Alexandria. Energies are from PBE.

Cell: 3.5226 3.5226 12.1026 Å, 81.63 81.63 60.00°
Last column: nearest neighbours and their distance in Å.
Atoms (fractional coordinates):
K1 0.0797 0.0797 0.7608  1 Pd 2.85
K2 0.9203 0.9203 0.2392  1 Pd 2.85
Tl1 0.5000 0.5000 0.5000  6 Tl 3.52, 6 K 3.72
Pd1 0.0000 0.0000 0.0000  2 K 2.85

Computed properties:
Volume = 128 Å³/cell
N(E_F) = 2.07 states/eV/f.u.
Electronic total energy = -8.289 eV/f.u.
Space-group type = No. 166
Offset from the most stable computed form = 1.94 eV per formula unit

---

Here is a relaxed structure of K3Tl2Pd2 from Alexandria. Energies are from PBE.

Cell: 6.7573 9.2004 14.5505 Å, 90.00 90.00 90.00°
Last column: nearest neighbours and their distance in Å.
Atoms (fractional coordinates):
Pd1 0.6131 0.5214 0.9145  3 Tl 2.76-2.84, 1 Pd 2.95
Pd2 0.3869 0.0214 0.9145  3 Tl 2.76-2.84, 1 Pd 2.95
Pd3 0.6131 0.9786 0.4145  3 Tl 2.76-2.84, 1 Pd 2.95
Pd4 0.3869 0.0214 0.5855  3 Tl 2.76-2.84, 1 Pd 2.95
Pd5 0.6131 0.5214 0.5855  3 Tl 2.76-2.84, 1 Pd 2.95
Pd6 0.3869 0.4786 0.4145  3 Tl 2.76-2.84, 1 Pd 2.95
Pd7 0.3869 0.4786 0.0855  3 Tl 2.76-2.84, 1 Pd 2.95
Pd8 0.6131 0.9786 0.0855  3 Tl 2.76-2.84, 1 Pd 2.95
K1 0.8660 0.6084 0.0960  2 Pd 3.25-3.45, 1 Tl 3.63
K2 0.6620 0.2218 0.7500  4 Tl 3.37-3.67, 4 Pd 3.55-3.67
K3 0.8660 0.8916 0.5960  2 Pd 3.25-3.45, 1 Tl 3.63
K4 0.1340 0.1084 0.0960  2 Pd 3.25-3.45, 1 Tl 3.63
K5 0.1340 0.1084 0.4040  2 Pd 3.25-3.45, 1 Tl 3.63
K6 0.8660 0.8916 0.9040  2 Pd 3.25-3.45, 1 Tl 3.63
K7 0.1340 0.3916 0.5960  2 Pd 3.25-3.45, 1 Tl 3.63
K8 0.1340 0.3916 0.9040  2 Pd 3.25-3.45, 1 Tl 3.63
K9 0.8660 0.6084 0.4040  2 Pd 3.25-3.45, 1 Tl 3.63
K10 0.3380 0.7782 0.2500  4 Tl 3.37-3.67, 4 Pd 3.55-3.67
K11 0.3380 0.7218 0.7500  4 Tl 3.37-3.67, 4 Pd 3.55-3.67
K12 0.6620 0.2782 0.2500  4 Tl 3.37-3.67, 4 Pd 3.55-3.67
Tl1 0.3989 0.7500 0.5000  4 Pd 2.79-2.84
Tl2 0.2014 0.0808 0.7500  2 Pd 2.76
Tl3 0.7986 0.5808 0.7500  2 Pd 2.76
Tl4 0.2014 0.4192 0.2500  2 Pd 2.76
Tl5 0.3989 0.7500 0.0000  4 Pd 2.79-2.84
Tl6 0.6011 0.2500 0.0000  4 Pd 2.79-2.84
Tl7 0.7986 0.9192 0.2500  2 Pd 2.76
Tl8 0.6011 0.2500 0.5000  4 Pd 2.79-2.84

Computed properties:
Volume = 905 Å³/cell
N(E_F) = 3.54 states/eV/f.u.
Electronic total energy = -19.419 eV/f.u.
Space-group type = No. 57

---

Number 1: mass density 6.0 Mg/m³, magnetic moment 0.000 μB per formula unit. Number 2: mass density 8.4 Mg/m³, magnetic moment 0.000 μB per formula unit. Number 3: mass density 6.3 Mg/m³, magnetic moment 0.000 μB per formula unit. Number 4: mass density 7.5 Mg/m³, magnetic moment 0.000 μB per formula unit. Number 5: mass density 8.0 Mg/m³, magnetic moment 0.000 μB per formula unit. Number 6: mass density 6.8 Mg/m³, magnetic moment 0.000 μB per formula unit. Number 7: mass density 6.9 Mg/m³, magnetic moment 0.000 μB per formula unit. Number 8: mass density 9.2 Mg/m³, magnetic moment 0.000 μB per formula unit. Number 9: mass density 8.7 Mg/m³, magnetic moment 0.000 μB per formula unit. Number 10: mass density 8.4 Mg/m³, magnetic moment 0.000 μB per formula unit. Number 11: mass density 5.0 Mg/m³, magnetic moment 0.000 μB per formula unit. Number 12: mass density 5.4 Mg/m³, magnetic moment 0.000 μB per formula unit.